# HoP2Ru, optimized geometry, DFT PBE
data_HoP2Ru
_chemical_formula_sum 'Ho1 P2 Ru1'
_cell_length_a 5.5217
_cell_length_b 5.5217
_cell_length_c 5.5217
_cell_angle_alpha 41.81
_cell_angle_beta 41.81
_cell_angle_gamma 41.81
_symmetry_space_group_name_H-M 'P 1'
_symmetry_Int_Tables_number 1
loop_
_symmetry_equiv_pos_as_xyz
'x,y,z'
loop_
_atom_site_label
_atom_site_type_symbol
_atom_site_fract_x
_atom_site_fract_y
_atom_site_fract_z
Ho1 Ho 0.0000 0.0000 0.0000
P1 P 0.2249 0.2249 0.2249
P2 P 0.7751 0.7751 0.7751
Ru1 Ru 0.5000 0.5000 0.5000
# **DFT formation energy**: -0.905 eV/atom
# **DFT total energy**: -7.07 eV/atom
# **Crystal system**: trigonal
# **Calculated density**: 8.05 Mg/m³


# HoP4Ru4, optimized geometry, DFT PBE
data_HoP4Ru4
_chemical_formula_sum 'Ho2 P8 Ru8'
_cell_length_a 5.9823
_cell_length_b 5.9823
_cell_length_c 7.6282
_cell_angle_alpha 90.00
_cell_angle_beta 90.00
_cell_angle_gamma 90.00
_symmetry_space_group_name_H-M 'P 1'
_symmetry_Int_Tables_number 1
loop_
_symmetry_equiv_pos_as_xyz
'x,y,z'
loop_
_atom_site_label
_atom_site_type_symbol
_atom_site_fract_x
_atom_site_fract_y
_atom_site_fract_z
Ho1 Ho 0.2500 0.7500 0.2500
Ho2 Ho 0.7500 0.2500 0.7500
P1 P 0.0355 0.2500 0.0655
P2 P 0.2500 0.0355 0.5655
P3 P 0.2500 0.4645 0.5655
P4 P 0.4645 0.2500 0.0655
P5 P 0.5355 0.7500 0.9345
P6 P 0.7500 0.5355 0.4345
P7 P 0.7500 0.9645 0.4345
P8 P 0.9645 0.7500 0.9345
Ru1 Ru 0.0223 0.2500 0.3705
Ru2 Ru 0.2500 0.0223 0.8705
Ru3 Ru 0.2500 0.4777 0.8705
Ru4 Ru 0.4777 0.2500 0.3705
Ru5 Ru 0.5223 0.7500 0.6295
Ru6 Ru 0.7500 0.5223 0.1295
Ru7 Ru 0.7500 0.9777 0.1295
Ru8 Ru 0.9777 0.7500 0.6295
# **DFT formation energy**: -0.614 eV/atom
# **DFT total energy**: -7.65 eV/atom
# **Crystal system**: tetragonal
# **Calculated density**: 8.43 Mg/m³


# Ho2P7Ru12, optimized geometry, DFT PBE
data_Ho2P7Ru12
_chemical_formula_sum 'Ho2 P7 Ru12'
_cell_length_a 9.4090
_cell_length_b 9.4090
_cell_length_c 3.9459
_cell_angle_alpha 90.00
_cell_angle_beta 90.00
_cell_angle_gamma 120.00
_symmetry_space_group_name_H-M 'P 1'
_symmetry_Int_Tables_number 1
loop_
_symmetry_equiv_pos_as_xyz
'x,y,z'
loop_
_atom_site_label
_atom_site_type_symbol
_atom_site_fract_x
_atom_site_fract_y
_atom_site_fract_z
Ho1 Ho 0.0000 0.0000 0.0000
Ho2 Ho 0.3333 0.6667 0.5000
P1 P 0.0912 0.4483 0.0000
P2 P 0.2669 0.2165 0.5000
P3 P 0.3570 0.9088 0.0000
P4 P 0.5517 0.6430 0.0000
P5 P 0.6667 0.3333 0.0000
P6 P 0.7835 0.0504 0.5000
P7 P 0.9496 0.7331 0.5000
Ru1 Ru 0.0587 0.2819 0.5000
Ru2 Ru 0.0921 0.6922 0.0000
Ru3 Ru 0.2232 0.9413 0.5000
Ru4 Ru 0.3078 0.3999 0.0000
Ru5 Ru 0.3944 0.1700 0.0000
Ru6 Ru 0.5448 0.4199 0.5000
Ru7 Ru 0.5801 0.1249 0.5000
Ru8 Ru 0.6001 0.9079 0.0000
Ru9 Ru 0.7181 0.7768 0.5000
Ru10 Ru 0.7756 0.6056 0.0000
Ru11 Ru 0.8300 0.2244 0.0000
Ru12 Ru 0.8751 0.4552 0.5000
# **DFT formation energy**: -0.759 eV/atom
# **DFT total energy**: -8.30 eV/atom
# **Crystal system**: hexagonal
# **Calculated density**: 9.66 Mg/m³


# HoP2Ru3, optimized geometry, DFT PBE
data_HoP2Ru3
_chemical_formula_sum 'Ho3 P6 Ru9'
_cell_length_a 8.0644
_cell_length_b 8.0644
_cell_length_c 9.5645
_cell_angle_alpha 107.69
_cell_angle_beta 107.69
_cell_angle_gamma 28.09
_symmetry_space_group_name_H-M 'P 1'
_symmetry_Int_Tables_number 1
loop_
_symmetry_equiv_pos_as_xyz
'x,y,z'
loop_
_atom_site_label
_atom_site_type_symbol
_atom_site_fract_x
_atom_site_fract_y
_atom_site_fract_z
Ho1 Ho 0.0000 0.0000 0.0000
Ho2 Ho 0.1583 0.1583 0.6966
Ho3 Ho 0.8417 0.8417 0.3034
P1 P 0.1968 0.1968 0.1333
P2 P 0.3606 0.3606 0.5492
P3 P 0.4606 0.4606 0.2195
P4 P 0.5394 0.5394 0.7805
P5 P 0.6394 0.6394 0.4508
P6 P 0.8032 0.8032 0.8667
Ru1 Ru 0.0395 0.0395 0.3282
Ru2 Ru 0.2174 0.2174 0.3915
Ru3 Ru 0.3199 0.3199 0.0384
Ru4 Ru 0.3775 0.3775 0.7997
Ru5 Ru 0.5000 0.5000 0.5000
Ru6 Ru 0.6225 0.6225 0.2003
Ru7 Ru 0.6801 0.6801 0.9616
Ru8 Ru 0.7826 0.7826 0.6085
Ru9 Ru 0.9605 0.9605 0.6718
# **DFT formation energy**: -0.794 eV/atom
# **DFT total energy**: -8.00 eV/atom
# **Crystal system**: monoclinic
# **Calculated density**: 9.49 Mg/m³


# HoP3Ru3, optimized geometry, DFT PBE
data_HoP3Ru3
_chemical_formula_sum 'Ho2 P6 Ru6'
_cell_length_a 7.5573
_cell_length_b 7.5573
_cell_length_c 7.5573
_cell_angle_alpha 52.36
_cell_angle_beta 52.36
_cell_angle_gamma 52.36
_symmetry_space_group_name_H-M 'P 1'
_symmetry_Int_Tables_number 1
loop_
_symmetry_equiv_pos_as_xyz
'x,y,z'
loop_
_atom_site_label
_atom_site_type_symbol
_atom_site_fract_x
_atom_site_fract_y
_atom_site_fract_z
Ho1 Ho 0.1668 0.1668 0.1668
Ho2 Ho 0.8332 0.8332 0.8332
P1 P 0.0956 0.7251 0.4048
P2 P 0.2749 0.5952 0.9044
P3 P 0.4048 0.0956 0.7251
P4 P 0.5952 0.9044 0.2749
P5 P 0.7251 0.4049 0.0956
P6 P 0.9044 0.2749 0.5952
Ru1 Ru 0.0319 0.3845 0.7242
Ru2 Ru 0.2758 0.9681 0.6155
Ru3 Ru 0.3845 0.7242 0.0319
Ru4 Ru 0.6155 0.2758 0.9681
Ru5 Ru 0.7242 0.0319 0.3845
Ru6 Ru 0.9681 0.6155 0.2758
# **DFT formation energy**: -0.748 eV/atom
# **DFT total energy**: -7.70 eV/atom
# **Crystal system**: trigonal
# **Calculated density**: 7.44 Mg/m³


# HoP2Ru4, optimized geometry, DFT PBE
data_HoP2Ru4
_chemical_formula_sum 'Ho2 P4 Ru8'
_cell_length_a 7.4756
_cell_length_b 7.4756
_cell_length_c 3.7827
_cell_angle_alpha 90.00
_cell_angle_beta 90.00
_cell_angle_gamma 90.00
_symmetry_space_group_name_H-M 'P 1'
_symmetry_Int_Tables_number 1
loop_
_symmetry_equiv_pos_as_xyz
'x,y,z'
loop_
_atom_site_label
_atom_site_type_symbol
_atom_site_fract_x
_atom_site_fract_y
_atom_site_fract_z
Ho1 Ho 0.0000 0.0000 0.0000
Ho2 Ho 0.5000 0.5000 0.5000
P1 P 0.2256 0.2256 0.5000
P2 P 0.2744 0.7256 0.0000
P3 P 0.7256 0.2744 0.0000
P4 P 0.7744 0.7744 0.5000
Ru1 Ru 0.0733 0.6653 0.5000
Ru2 Ru 0.1653 0.4267 0.0000
Ru3 Ru 0.3347 0.9267 0.5000
Ru4 Ru 0.4267 0.1653 0.0000
Ru5 Ru 0.5733 0.8347 0.0000
Ru6 Ru 0.6653 0.0733 0.5000
Ru7 Ru 0.8347 0.5733 0.0000
Ru8 Ru 0.9267 0.3347 0.5000
# **DFT formation energy**: -0.696 eV/atom
# **DFT total energy**: -8.20 eV/atom
# **Crystal system**: tetragonal
# **Calculated density**: 9.92 Mg/m³


# HoPS, optimized geometry, DFT PBE
data_HoPS
_chemical_formula_sum 'Ho2 P2 S2'
_cell_length_a 3.6814
_cell_length_b 3.6814
_cell_length_c 8.4558
_cell_angle_alpha 90.00
_cell_angle_beta 90.00
_cell_angle_gamma 90.00
_symmetry_space_group_name_H-M 'P 1'
_symmetry_Int_Tables_number 1
loop_
_symmetry_equiv_pos_as_xyz
'x,y,z'
loop_
_atom_site_label
_atom_site_type_symbol
_atom_site_fract_x
_atom_site_fract_y
_atom_site_fract_z
Ho1 Ho 0.2500 0.2500 0.2207
Ho2 Ho 0.7500 0.7500 0.7793
P1 P 0.2500 0.7500 0.5000
P2 P 0.7500 0.2500 0.5000
S1 S 0.2500 0.2500 0.8746
S2 S 0.7500 0.7500 0.1254
# **Formation energy (no corrections)**: -4.54 eV/f.u.
# **DFT total energy**: -6.22 eV/atom
# **Crystal system**: tetragonal
# **Calculated density**: 6.61 Mg/m³


# Ho5PS4, optimized geometry, DFT PBE
data_Ho5PS4
_chemical_formula_sum 'Ho5 P1 S4'
_cell_length_a 6.7661
_cell_length_b 6.7661
_cell_length_c 6.7661
_cell_angle_alpha 99.59
_cell_angle_beta 99.59
_cell_angle_gamma 131.83
_symmetry_space_group_name_H-M 'P 1'
_symmetry_Int_Tables_number 1
loop_
_symmetry_equiv_pos_as_xyz
'x,y,z'
loop_
_atom_site_label
_atom_site_type_symbol
_atom_site_fract_x
_atom_site_fract_y
_atom_site_fract_z
Ho1 Ho 0.0000 0.0000 0.0000
Ho2 Ho 0.2047 0.4011 0.6058
Ho3 Ho 0.4011 0.7953 0.1964
Ho4 Ho 0.5989 0.2047 0.8036
Ho5 Ho 0.7953 0.5989 0.3942
P1 P 0.5000 0.5000 0.0000
S1 S 0.0989 0.6987 0.7976
S2 S 0.3013 0.0989 0.4002
S3 S 0.6987 0.9011 0.5998
S4 S 0.9011 0.3013 0.2024
# **Formation energy (no corrections)**: -19.41 eV/f.u.
# **DFT total energy**: -6.42 eV/atom
# **Crystal system**: tetragonal
# **Calculated density**: 7.75 Mg/m³


# HoP2S6, optimized geometry, DFT PBE
data_HoP2S6
_chemical_formula_sum 'Ho1 P2 S6'
_cell_length_a 8.2106
_cell_length_b 8.2106
_cell_length_c 8.2106
_cell_angle_alpha 45.62
_cell_angle_beta 45.62
_cell_angle_gamma 45.62
_symmetry_space_group_name_H-M 'P 1'
_symmetry_Int_Tables_number 1
loop_
_symmetry_equiv_pos_as_xyz
'x,y,z'
loop_
_atom_site_label
_atom_site_type_symbol
_atom_site_fract_x
_atom_site_fract_y
_atom_site_fract_z
Ho1 Ho 0.0000 0.0000 0.0000
P1 P 0.2813 0.2813 0.2813
P2 P 0.3853 0.3853 0.3853
S1 S 0.1173 0.3921 0.7262
S2 S 0.2337 0.9608 0.5694
S3 S 0.3921 0.7262 0.1173
S4 S 0.5694 0.2337 0.9608
S5 S 0.7262 0.1173 0.3921
S6 S 0.9608 0.5694 0.2337
# **Formation energy (no corrections)**: -5.57 eV/f.u.
# **DFT total energy**: -5.08 eV/atom
# **Crystal system**: trigonal
# **Calculated density**: 2.70 Mg/m³